No. 1
The following is a PBE calculation of crystalline LuPaW at its relaxed geometry, from OQMD via LeMat-Bulk.

Unit cell a=6.6726 b=6.6726 c=6.6726 alpha=90.00 beta=90.00 gamma=90.00
Last column: nearest neighbours and their distance in Å.
Space group F-43m (No. 216)
One atom of each set of equivalent atoms:
Lu (0.0000, 0.0000, 0.0000) x4  4 W 2.89, 4 Pa 2.89
Pa (0.2500, 0.2500, 0.7500) x4  4 Lu 2.89
W (0.2500, 0.2500, 0.2500) x4  4 Lu 2.89

Results
relative energy among the computed polymorphs: 0 meV/atom
size of the total moment: 0.00 μB/atom
crystal system: cubic
E_form: 1312 meV per atom
E_tot: -7.68 eV per atom

=====

No. 2
The following is a PBE calculation of crystalline YLuPa at its relaxed geometry, from OQMD via LeMat-Bulk.

Unit cell a=7.4214 b=7.4214 c=7.4214 alpha=90.00 beta=90.00 gamma=90.00
Last column: nearest neighbours and their distance in Å.
Space group F-43m (No. 216)
One atom of each set of equivalent atoms:
Y (0.0000, 0.0000, 0.0000) x4  4 Lu 3.21
Lu (0.2500, 0.2500, 0.7500) x4  4 Pa 3.21, 4 Y 3.21
Pa (0.0000, 0.0000, 0.5000) x4  4 Lu 3.21

Results
relative energy among the computed polymorphs: 0 meV/atom
size of the total moment: 0.93 μB/atom
crystal system: cubic
E_form: 1069 meV per atom
E_tot: -5.76 eV per atom

=====

> What is the E_form in the first record?

1312 meV per atom

=====

What did the first record say?
The following is a PBE calculation of crystalline LuPaW at its relaxed geometry, from OQMD via LeMat-Bulk.

Unit cell a=6.6726 b=6.6726 c=6.6726 alpha=90.00 beta=90.00 gamma=90.00
Last column: nearest neighbours and their distance in Å.
Space group F-43m (No. 216)
One atom of each set of equivalent atoms:
Lu (0.0000, 0.0000, 0.0000) x4  4 W 2.89, 4 Pa 2.89
Pa (0.2500, 0.2500, 0.7500) x4  4 Lu 2.89
W (0.2500, 0.2500, 0.2500) x4  4 Lu 2.89

Results
relative energy among the computed polymorphs: 0 meV/atom
size of the total moment: 0.00 μB/atom
crystal system: cubic
E_form: 1312 meV per atom
E_tot: -7.68 eV per atom

=====

> Which of these has the lowest E_form?

YLuPa